VASP calculation (PBE-GGA) on FeCuSe2 after structural relaxation.

## Properties
VASP energy = -0.328 Ry/atom
Mass density = 7.68 g/cm³

Geometry as CIF:
```
data_FeCuSe2
_space_group_name_H-M_alt 'F m -3 m'
_space_group_IT_number 225
_space_group_name_Hall '-F 4 2 3'
_cell_length_a 6.214
_cell_length_b 6.214
_cell_length_c 6.214
_cell_angle_alpha 90.00
_cell_angle_beta 90.00
_cell_angle_gamma 90.00
loop_
_atom_site_label
_atom_site_type_symbol
_atom_site_fract_x
_atom_site_fract_y
_atom_site_fract_z
Fe1 Fe 0.000 0.000 0.000
Cu1 Cu 0.000 0.000 0.500
Se1 Se 0.250 0.250 0.250
```